VASP calculation (PBE) on a geometry-optimized TaCrCo2 structure.

extended XYZ file:
```
4
Lattice="-4.539 1.792 0.340 -2.088 -0.107 4.423 3.920 1.648 -2.419" Properties=species:S:1:pos:R:3 pbc="T T T"
Ta -0.724 1.187 2.180
Cr -3.340 0.849 2.400
Co -6.617 1.683 4.755
Co -1.968 2.142 0.152
```

Output
SG   Imm2
Formation energy from the elements   0.064 eV per atom
Fermi-level density of states   4.54 states/eV per cell
Size of the total moment   4.64 μB/cell
Electronic total energy   -8.858 eV/atom

VASP calculation (PBE) on a geometry-optimized PmTlCu structure.

extended XYZ file:
```
6
Lattice="4.502 0.000 0.000 2.251 5.825 -0.216 2.251 0.855 5.346" Properties=species:S:1:pos:R:3 pbc="T T T"
Tl 4.502 5.857 3.831
Tl 4.502 0.824 1.299
Cu 6.753 4.463 3.124
Cu 2.251 2.218 2.006
Pm 4.502 2.510 4.152
Pm 4.502 4.170 0.978
```

Output
SG   C2/m
Formation energy from the elements   -0.229 eV per atom
Fermi-level density of states   4.64 states/eV per cell
Size of the total moment   0.00 μB/cell
Electronic total energy   -3.966 eV/atom

VASP calculation (PBE) on a geometry-optimized HfMg6SiO8 structure.

extended XYZ file:
```
16
Lattice="4.217 0.000 0.000 0.000 4.217 0.000 0.000 0.000 10.355" Properties=species:S:1:pos:R:3 pbc="T T T"
O 0.000 0.000 7.249
O 2.109 2.109 2.217
O 2.109 0.000 0.000
O 0.000 0.000 3.106
O 0.000 2.109 0.000
O 0.000 2.109 5.177
O 2.109 2.109 8.138
O 2.109 0.000 5.177
Mg 2.109 2.109 5.177
Mg 2.109 0.000 8.119
Mg 2.109 0.000 2.236
Mg 0.000 2.109 2.236
Mg 0.000 2.109 8.119
Mg 2.109 2.109 0.000
Hf 0.000 0.000 5.177
Si 0.000 0.000 0.000
```

Output
SG   P4/mmm
Fermi-level density of states   2.58 states/eV per cell
Size of the total moment   0.08 μB/cell
Raw formation energy   -2243.1 meV/atom
Electronic total energy   -6.281 eV/atom

VASP calculation (PBE) on a geometry-optimized ZrIn3Te structure.

extended XYZ file:
```
5
Lattice="-4.758 -0.831 -2.923 0.899 -5.572 0.120 -2.902 -0.364 4.828" Properties=species:S:1:pos:R:3 pbc="T T T"
In -2.379 -0.415 -1.461
In -1.451 -0.182 2.414
In 0.449 -2.786 0.060
Te 0.000 0.000 0.000
Zr -3.381 -3.383 1.013
```

Output
SG   Pm-3m
Fermi-level density of states   6.86 states/eV per cell
Size of the total moment   2.16 μB/cell
Raw formation energy   983.5 meV/atom
Electronic total energy   -2.998 eV/atom

VASP calculation (PBE) on a geometry-optimized Sc2IrAu structure.

extended XYZ file:
```
8
Lattice="7.353 0.000 0.000 0.000 7.353 0.000 3.677 3.677 2.915" Properties=species:S:1:pos:R:3 pbc="T T T"
Au 0.000 0.000 0.000
Au 7.353 3.677 1.458
Sc 2.005 5.515 0.729
Sc 9.191 9.024 2.187
Sc 5.348 1.838 0.729
Sc 5.515 5.682 2.187
Ir 3.677 3.677 0.000
Ir 3.677 7.353 1.458
```

Output
SG   I-42d
Formation energy from the elements   -0.443 eV per atom
Fermi-level density of states   4.73 states/eV per cell
Size of the total moment   0.00 μB/cell
Electronic total energy   -6.643 eV/atom

VASP calculation (PBE) on a geometry-optimized CaBS structure.

extended XYZ file:
```
6
Lattice="-1.947 -3.311 -0.090 3.978 -3.566 -1.356 0.775 -1.889 5.139" Properties=species:S:1:pos:R:3 pbc="T T T"
B 1.292 -4.913 4.062
B 1.515 -3.852 -0.369
S 2.348 -5.258 0.410
S 0.459 -3.508 3.282
Ca -0.760 -4.665 0.861
Ca 3.567 -4.100 2.832
```

Output
SG   P-1
Size of the total moment   0.00 μB/cell
Raw formation energy   -827.4 meV/atom
Electronic total energy   -5.096 eV/atom

VASP calculation (PBE) on a geometry-optimized MoP2Ru structure.

extended XYZ file:
```
4
Lattice="4.025 0.009 0.009 2.944 2.746 0.009 1.109 0.438 5.020" Properties=species:S:1:pos:R:3 pbc="T T T"
P 1.111 0.439 4.992
P 4.037 1.596 2.546
Mo 2.020 0.798 1.259
Ru 6.059 2.395 3.778
```

Output
SG   C2/m
Formation energy from the elements   -0.178 eV per atom
Fermi-level density of states   3.43 states/eV per cell
Size of the total moment   0.00 μB/cell
Electronic total energy   -7.910 eV/atom

VASP calculation (PBE) on a geometry-optimized NaGaPt2 structure.

extended XYZ file:
```
4
Lattice="-2.363 -1.348 1.090 0.126 -1.971 -2.164 4.629 -4.546 4.410" Properties=species:S:1:pos:R:3 pbc="T T T"
Ga -1.118 -1.660 -0.537
Pt 0.952 -0.935 0.907
Pt 3.677 -3.611 3.503
Na 1.196 -3.933 1.668
```

Output
SG   P4/mmm
Formation energy from the elements   -0.466 eV per atom
Fermi-level density of states   0.79 states/eV per cell
Size of the total moment   0.00 μB/cell
Electronic total energy   -4.572 eV/atom

VASP calculation (PBE) on a geometry-optimized CoTc2Ge2 structure.

extended XYZ file:
```
10
Lattice="-5.400 1.307 -3.914 1.911 -4.921 -4.280 -1.740 -2.141 1.685" Properties=species:S:1:pos:R:3 pbc="T T T"
Ge -2.807 -4.360 -5.337
Ge -0.462 -4.098 -2.584
Ge -2.422 -1.395 -1.172
Ge -4.766 -1.656 -3.925
Co -1.744 -1.807 -4.097
Co 0.000 0.000 0.000
Tc -3.399 -2.044 -6.107
Tc -0.090 -1.570 -2.088
Tc -3.199 0.137 -3.129
Tc -0.290 -3.750 -5.065
```

Output
SG   P4/mbm
Formation energy from the elements   0.181 eV per atom
Fermi-level density of states   11.40 states/eV per cell
Size of the total moment   3.92 μB/cell
Electronic total energy   -7.234 eV/atom

VASP calculation (PBE) on a geometry-optimized BeBi2ClO structure.

extended XYZ file:
```
5
Lattice="5.035 0.000 0.000 0.000 4.184 0.000 0.000 0.000 5.035" Properties=species:S:1:pos:R:3 pbc="T T T"
Bi 0.000 0.000 2.518
Bi 2.518 0.000 0.000
Cl 0.000 2.092 0.000
O 2.518 2.092 2.518
Be 0.000 0.000 0.000
```

Output
SG   P4/mmm
Fermi-level density of states   3.12 states/eV per cell
Size of the total moment   0.00 μB/cell
Raw formation energy   340.9 meV/atom
Electronic total energy   -3.318 eV/atom

VASP calculation (PBE) on a geometry-optimized BaBe2SiPt structure.

extended XYZ file:
```
5
Lattice="-4.146 -1.244 -1.232 -0.931 -2.277 5.432 -1.604 3.969 1.389" Properties=species:S:1:pos:R:3 pbc="T T T"
Be -2.073 -0.622 -0.616
Be -0.802 1.985 0.695
Ba -0.465 -1.139 2.716
Pt 0.000 0.000 0.000
Si -3.341 0.224 2.795
```

Output
SG   P4/mmm
Fermi-level density of states   3.76 states/eV per cell
Size of the total moment   0.00 μB/cell
Raw formation energy   416.5 meV/atom
Electronic total energy   -3.751 eV/atom

VASP calculation (PBE) on a geometry-optimized ScU3Se6 structure.

extended XYZ file:
```
20
Lattice="-1.522 6.672 -4.523 4.853 -4.089 -5.198 -7.015 -4.081 -1.192" Properties=species:S:1:pos:R:3 pbc="T T T"
Se -1.512 1.302 -7.220
Se -2.931 1.279 -3.997
Se 0.802 -0.228 -5.050
Se 3.290 0.590 -7.962
Se -6.042 3.338 -5.189
Se -0.383 4.892 -6.135
Se -6.975 -2.089 -2.951
Se -0.754 -2.778 -6.916
Se -2.172 -2.801 -3.692
Se -4.486 -1.271 -5.863
Se 2.357 -4.837 -5.724
Se -3.302 -6.391 -4.778
U 0.800 -3.004 -4.197
U -4.315 -1.091 -2.733
U 0.631 -0.408 -8.180
U -0.365 2.517 -4.562
U -4.484 1.505 -6.716
U -3.320 -4.016 -6.351
Sc -1.842 -0.749 -5.456
Sc 0.000 0.000 0.000
```

Output
SG   R-3
Fermi-level density of states   40.28 states/eV per cell
Size of the total moment   17.69 μB/cell
Raw formation energy   -1192.2 meV/atom
Electronic total energy   -7.303 eV/atom

VASP calculation (PBE) on a geometry-optimized HfSb2TeN structure.

extended XYZ file:
```
5
Lattice="-0.016 -2.702 -3.892 3.838 -2.289 1.573 -2.720 -3.082 2.151" Properties=species:S:1:pos:R:3 pbc="T T T"
Sb 1.919 -1.144 0.787
Sb -0.008 -1.351 -1.946
N 0.000 0.000 0.000
Te -1.360 -1.541 1.075
Hf 0.551 -4.036 -0.084
```

Output
SG   P4/mmm
Fermi-level density of states   1.99 states/eV per cell
Size of the total moment   0.00 μB/cell
Raw formation energy   419.0 meV/atom
Electronic total energy   -5.514 eV/atom

VASP calculation (PBE) on a geometry-optimized LiCaU2N5 structure.

extended XYZ file:
```
18
Lattice="6.395 0.000 0.000 0.000 6.395 0.000 -3.198 -3.198 5.539" Properties=species:S:1:pos:R:3 pbc="T T T"
N 0.000 0.000 0.000
N 1.003 2.195 4.185
N 3.198 3.198 0.000
N 2.195 -1.003 4.185
N 1.003 4.200 1.355
N -1.003 -2.195 4.185
N 2.195 1.003 1.355
N 5.392 2.195 1.355
N 4.200 5.392 1.355
N -2.195 1.003 4.185
U 1.077 2.120 0.000
U 2.120 5.318 0.000
U 5.318 4.275 0.000
U 4.275 1.077 0.000
Li 0.000 3.198 2.770
Li 3.198 0.000 2.770
Ca 3.198 3.198 2.770
Ca 0.000 0.000 2.770
```

Output
SG   I4/mcm
Fermi-level density of states   0.65 states/eV per cell
Size of the total moment   0.00 μB/cell
Raw formation energy   -1042.7 meV/atom
Electronic total energy   -8.611 eV/atom

VASP calculation (PBE) on a geometry-optimized PrAl7Zn5 structure.

extended XYZ file:
```
13
Lattice="-5.077 -1.085 0.545 -1.448 -2.556 6.419 -3.609 5.555 2.439" Properties=species:S:1:pos:R:3 pbc="T T T"
Al -2.840 2.662 3.842
Al -5.672 3.229 3.589
Al -2.534 0.345 2.080
Al -2.217 0.324 4.989
Al -4.462 -1.313 5.818
Al -5.070 0.371 3.509
Al -5.064 1.543 5.894
Zn -9.403 3.170 6.205
Zn -6.867 3.712 5.932
Zn -5.798 -0.299 7.901
Zn -8.334 -0.841 8.173
Zn -7.600 1.568 7.321
Pr -5.077 -1.072 0.572
```

Output
SG   Imm2
Formation energy from the elements   -0.112 eV per atom
Fermi-level density of states   5.13 states/eV per cell
Size of the total moment   0.00 μB/cell
Electronic total energy   -2.984 eV/atom

VASP calculation (PBE) on a geometry-optimized CdFe2P structure.

extended XYZ file:
```
4
Lattice="4.073 0.000 0.000 0.000 2.880 0.030 0.000 1.313 5.067" Properties=species:S:1:pos:R:3 pbc="T T T"
Fe 2.037 1.500 1.356
Fe 0.000 0.187 0.363
P 0.000 1.642 2.104
Cd 2.037 2.961 3.824
```

Output
SG   Pm
Formation energy from the elements   0.145 eV per atom
Fermi-level density of states   3.17 states/eV per cell
Size of the total moment   3.68 μB/cell
Electronic total energy   -5.668 eV/atom

VASP calculation (PBE) on a geometry-optimized NiAs2SeBr structure.

extended XYZ file:
```
5
Lattice="4.765 0.000 0.000 0.000 4.765 0.000 0.000 0.000 4.672" Properties=species:S:1:pos:R:3 pbc="T T T"
Br 2.383 2.383 2.336
As 0.000 2.383 0.000
As 2.383 0.000 0.000
Se 0.000 0.000 2.336
Ni 0.000 0.000 0.000
```

Output
SG   P4/mmm
Fermi-level density of states   6.44 states/eV per cell
Size of the total moment   0.00 μB/cell
Raw formation energy   448.7 meV/atom
Electronic total energy   -3.599 eV/atom

VASP calculation (PBE) on a geometry-optimized YFe2Rh structure.

extended XYZ file:
```
4
Lattice="-1.039 0.098 -4.364 2.828 -3.409 -0.720 -3.258 -0.414 3.058" Properties=species:S:1:pos:R:3 pbc="T T T"
Rh 0.894 -1.656 -2.542
Y -1.701 -0.986 -1.924
Fe 0.000 0.000 0.000
Fe 0.232 -2.739 -0.102
```

Output
SG   I-4m2
Formation energy from the elements   -0.012 eV per atom
Fermi-level density of states   4.06 states/eV per cell
Size of the total moment   5.10 μB/cell
Electronic total energy   -7.697 eV/atom

VASP calculation (PBE) on a geometry-optimized Li7CaHg4 structure.

extended XYZ file:
```
12
Lattice="-2.975 3.885 -1.392 -7.039 -0.707 3.775 0.170 5.162 4.748" Properties=species:S:1:pos:R:3 pbc="T T T"
Li -4.353 1.288 3.603
Li -5.171 4.650 5.437
Li -1.458 3.016 2.238
Li -8.387 5.324 4.893
Li -5.492 7.052 3.528
Li -1.488 1.943 -0.696
Li -4.674 3.690 1.694
Hg -3.257 1.247 1.144
Hg -6.588 7.093 5.987
Hg -6.715 2.973 4.057
Hg -3.130 5.367 3.074
Ca 0.000 0.000 0.000
```

Output
SG   C2/m
Formation energy from the elements   -0.195 eV per atom
Fermi-level density of states   5.24 states/eV per cell
Size of the total moment   0.00 μB/cell
Electronic total energy   -1.579 eV/atom

VASP calculation (PBE) on a geometry-optimized ErZn12Cu4 structure.

extended XYZ file:
```
17
Lattice="7.354 0.000 0.000 -2.451 6.933 0.000 -2.451 -3.467 6.005" Properties=species:S:1:pos:R:3 pbc="T T T"
Zn 4.869 1.757 1.162
Zn -0.034 3.595 3.901
Zn -2.417 1.709 4.842
Zn 3.954 -1.166 3.901
Zn 2.485 -0.128 2.103
Zn -1.502 4.633 2.103
Zn 2.417 5.048 0.941
Zn -0.949 0.671 3.044
Zn 0.034 -1.581 5.064
Zn 0.949 2.972 0.941
Zn 1.502 0.495 5.064
Zn 3.400 2.796 2.961
Cu -1.226 -1.733 3.002
Cu -1.226 3.467 0.000
Cu 3.677 0.000 0.000
Cu 1.226 1.733 3.002
Er 0.000 0.000 0.000
```

Output
SG   Im-3
Formation energy from the elements   0.174 eV per atom
Fermi-level density of states   6.56 states/eV per cell
Size of the total moment   0.00 μB/cell
Electronic total energy   -1.957 eV/atom

VASP calculation (PBE) on a geometry-optimized Fe2CuCl structure.

extended XYZ file:
```
4
Lattice="4.969 0.009 0.000 2.321 4.394 0.000 -3.645 -2.201 2.561" Properties=species:S:1:pos:R:3 pbc="T T T"
Fe 0.000 0.000 0.000
Fe 1.161 2.197 1.281
Cl 3.645 2.201 0.000
Cu 2.484 0.004 1.281
```

Output
SG   I-4m2
Fermi-level density of states   4.20 states/eV per cell
Size of the total moment   6.00 μB/cell
Raw formation energy   644.5 meV/atom
Electronic total energy   -5.073 eV/atom

VASP calculation (PBE) on a geometry-optimized Mn5CrOs structure.

extended XYZ file:
```
28
Lattice="-0.970 -4.466 0.248 6.660 -1.276 3.061 -3.822 1.322 8.866" Properties=species:S:1:pos:R:3 pbc="T T T"
Mn 3.629 -1.848 2.022
Mn 3.350 -3.826 7.552
Mn -2.568 -1.386 6.487
Mn 0.301 -1.865 9.087
Mn -1.551 -2.743 7.895
Mn -3.960 -2.185 8.534
Mn 4.436 -3.034 5.688
Mn -2.100 0.768 6.367
Mn 1.567 -2.555 3.088
Mn 1.866 -3.411 9.224
Mn 3.968 -5.188 5.808
Mn -1.482 -0.594 4.623
Mn 3.419 -1.677 4.280
Mn 0.002 -1.009 2.951
Mn 0.769 0.289 8.968
Mn 0.713 -3.287 6.948
Mn 5.828 -2.236 3.641
Mn 1.099 -4.710 3.207
Mn 1.155 -1.133 5.227
Mn -1.761 -2.572 10.153
Cr -0.493 -3.305 1.901
Cr -0.215 -0.738 6.994
Cr 2.361 -1.115 10.274
Cr 2.083 -3.682 5.181
Os -0.701 -3.104 4.715
Os 2.569 -1.316 7.460
Os 3.968 -4.205 3.139
Os -2.100 -0.215 9.037
```

Output
SG   Pnma
Formation energy from the elements   0.181 eV per atom
Fermi-level density of states   33.32 states/eV per cell
Size of the total moment   8.18 μB/cell
Electronic total energy   -9.348 eV/atom

VASP calculation (PBE) on a geometry-optimized LiTiAu4 structure.

extended XYZ file:
```
6
Lattice="4.270 0.000 -0.001 0.000 4.271 -0.002 0.003 0.004 6.281" Properties=species:S:1:pos:R:3 pbc="T T T"
Li 2.142 2.130 6.268
Au 0.008 2.126 4.763
Au 2.142 4.261 1.490
Au 0.006 2.124 1.492
Au 2.143 4.264 4.762
Ti 0.008 4.260 3.126
```

Output
SG   P4/mmm
Formation energy from the elements   -0.199 eV per atom
Fermi-level density of states   1.85 states/eV per cell
Size of the total moment   0.00 μB/cell
Electronic total energy   -4.018 eV/atom